Material: YCd2Ge
Method: DFT, PBE
State: relaxed

```
YCd2Ge
1.0
-4.870 0.577 -0.285
-0.481 -2.299 3.567
0.285 3.564 2.336
Y Ge Cd
1 1 2
direct
0.500 0.000 0.000
0.500 0.500 0.500
0.000 0.500 0.000
0.000 0.000 0.500
```

As for the space group: P4/mmm. Its formation enthalpy at 0 K is -0.405 eV per atom. As for the total energy: -3.633 eV per atom.